[1]
{"formula": "CsTm3MgAs3", "functional": "GGA-PBE", "state": "relaxed", "lattice": [[4.614, 0.000, 0.000], [0.000, 4.763, 0.000], [0.000, 0.000, 11.093]], "species": ["Cs", "Tm", "Tm", "Tm", "Mg", "As", "As", "As"], "fractional_positions": [[0.000, 0.000, 0.000], [0.000, 0.500, 0.645], [0.500, 0.000, 0.346], [0.500, 0.000, 0.663], [0.000, 0.500, 0.330], [0.000, 0.000, 0.497], [0.500, 0.500, 0.210], [0.500, 0.500, 0.793]]}

=====

[2]
{"formula": "Dy2HoIn3Pt2Au", "functional": "GGA-PBE", "state": "relaxed", "lattice": [[3.798, 0.000, 0.000], [0.000, 6.737, 3.893], [0.000, -6.737, 3.893]], "species": ["Dy", "Dy", "Ho", "In", "In", "In", "Pt", "Pt", "Au"], "fractional_positions": [[0.000, 0.204, 0.796], [0.000, 0.796, 0.204], [0.000, 0.388, 0.388], [0.500, 0.065, 0.065], [0.500, 0.527, 0.796], [0.500, 0.796, 0.527], [0.500, 0.130, 0.463], [0.500, 0.463, 0.130], [0.000, 0.796, 0.796]]}

=====

[3]
{"formula": "Zn2SO", "functional": "GGA-PBE", "state": "relaxed", "de_polymorph_mev_per_atom": 197, "lattice": [[5.733, -1.738, 0.000], [5.733, 1.738, 0.000], [-1.665, 0.000, 5.398]], "species": ["Zn", "Zn", "Zn", "Zn", "S", "S", "O", "O"], "fractional_positions": [[0.000, 0.000, 0.000], [0.000, 0.000, 0.500], [0.276, 0.276, 0.723], [0.724, 0.724, 0.277], [0.387, 0.387, 0.167], [0.613, 0.613, 0.833], [0.145, 0.145, 0.362], [0.855, 0.855, 0.638]]}

=====

[4]
{"formula": "PrCu4Ag", "functional": "GGA-PBE", "state": "relaxed", "delta_e_f_ev_per_atom": -0.18, "lattice": [[0.000, 3.635, 3.635], [3.635, 0.000, 3.635], [3.635, 3.635, 0.000]], "species": ["Pr", "Cu", "Cu", "Cu", "Cu", "Ag"], "fractional_positions": [[0.000, 0.000, 0.000], [0.131, 0.623, 0.623], [0.623, 0.131, 0.623], [0.623, 0.623, 0.131], [0.623, 0.623, 0.623], [0.250, 0.250, 0.250]]}

=====

[5]
{"formula": "Y2AlAg", "functional": "GGA-PBE", "state": "relaxed", "lattice": [[0.000, 3.602, 3.602], [3.602, 0.000, 3.602], [3.602, 3.602, 0.000]], "species": ["Y", "Y", "Al", "Ag"], "fractional_positions": [[0.000, 0.000, 0.000], [0.250, 0.250, 0.250], [0.500, 0.500, 0.500], [0.750, 0.750, 0.750]]}

=====

[6]
{"formula": "AcTbO3", "functional": "GGA-PBE", "state": "relaxed", "lattice": [[3.077, 1.776, 4.915], [-3.077, 1.776, 4.915], [0.000, -3.553, 4.915]], "species": ["Ac", "Ac", "Tb", "Tb", "O", "O", "O", "O", "O", "O"], "fractional_positions": [[0.250, 0.250, 0.250], [0.750, 0.750, 0.750], [0.000, 0.000, 0.000], [0.500, 0.500, 0.500], [0.143, 0.750, 0.357], [0.250, 0.643, 0.857], [0.357, 0.143, 0.750], [0.643, 0.857, 0.250], [0.750, 0.357, 0.143], [0.857, 0.250, 0.643]]}

=====

[7]
{"formula": "Ho2TmZn3CuAg2", "functional": "GGA-PBE", "state": "relaxed", "delta_e_f_ev_per_atom": -0.33, "lattice": [[3.967, 0.000, 0.000], [0.000, 6.262, 3.622], [0.000, -6.262, 3.622]], "species": ["Ho", "Ho", "Tm", "Zn", "Zn", "Zn", "Cu", "Ag", "Ag"], "fractional_positions": [[0.000, 0.201, 0.799], [0.000, 0.799, 0.201], [0.000, 0.398, 0.398], [0.500, 0.034, 0.034], [0.500, 0.564, 0.798], [0.500, 0.798, 0.564], [0.000, 0.798, 0.798], [0.500, 0.134, 0.465], [0.500, 0.465, 0.134]]}

=====

[8]
{"formula": "Dy2ErIn3CuAu2", "functional": "GGA-PBE", "state": "relaxed", "lattice": [[3.848, 0.000, 0.000], [0.000, 6.715, 3.883], [0.000, -6.715, 3.883]], "species": ["Dy", "Dy", "Er", "In", "In", "In", "Cu", "Au", "Au"], "fractional_positions": [[0.000, 0.201, 0.799], [0.000, 0.799, 0.201], [0.000, 0.398, 0.398], [0.500, 0.051, 0.051], [0.500, 0.547, 0.799], [0.500, 0.799, 0.547], [0.000, 0.799, 0.799], [0.500, 0.134, 0.465], [0.500, 0.465, 0.134]]}

=====

Number 1: E -35.8 eV for the cell shown. Number 2: E -45.6 eV for the cell shown. Number 3: E -30.2 eV for the cell shown. Number 4: E -23.5 eV for the cell shown. Number 5: E -19.4 eV for the cell shown. Number 6: E -81.1 eV for the cell shown. Number 7: E -29.7 eV for the cell shown. Number 8: E -38.2 eV for the cell shown.